Mg2Pt3S | PBE | optimized geometry

Properties
Final energy ... -26.27 eV per cell
Magnetic moment ... 0.16 μB/atom
Calculated density ... 9.86 g cm⁻³

a b c (Å): 5.3082 5.3082 4.5978
angles (deg): 90.00 90.00 120.00
Closest atoms and distances in Å follow each position.
Space group P6/mmm (No. 191)
Inequivalent atoms, fractional coordinates:
Mg 0.3333 0.6667 0.0000  6 Pt 2.76, 3 S 3.06, 3 Mg 3.06
Pt 0.0000 0.5000 0.5000  4 Pt 2.65, 4 Mg 2.76
S 0.0000 0.0000 0.0000  6 Mg 3.06



PmHgAsO | PBE | optimized geometry

Properties
Final energy ... -38.97 eV per cell
Magnetic moment ... 0.00 μB/atom
Calculated density ... 7.93 g cm⁻³

a b c (Å): 4.8318 5.4770 6.9084
angles (deg): 90.00 90.00 90.00
Closest atoms and distances in Å follow each position.
Space group Pmc2_1 (No. 26)
Inequivalent atoms, fractional coordinates:
Pm 0.0000 0.1034 0.0000  2 O 2.23-2.24
Hg 0.5000 0.4207 0.4068  2 As 2.57-2.58, 2 O 2.73
As 0.5000 0.1703 0.7216  2 Hg 2.57-2.58
O 0.0000 0.2249 0.3097  2 Pm 2.23-2.24



Ho3Ge4Os2 | PBE | optimized geometry

Properties
Final energy ... -120.59 eV per cell
Magnetic moment ... 0.00 μB/atom
Calculated density ... 10.91 g cm⁻³

a b c (Å): 10.6696 4.3571 8.1205
angles (deg): 90.00 109.87 90.00
Closest atoms and distances in Å follow each position.
Space group C2/m (No. 12)
Inequivalent atoms, fractional coordinates:
Ho 0.0000 0.0000 0.0000  8 Ge 3.06-3.33
Ho 0.1224 0.5000 0.6985  7 Ge 2.90-3.17, 4 Os 3.01-3.18
Ge 0.0907 0.0000 0.4040  3 Os 2.45-2.54
Ge 0.2132 0.5000 0.0786  1 Os 2.43
Os 0.1798 0.5000 0.3603  4 Ge 2.43-2.54



Question: Which of these has the highest final energy?
Answer: Mg2Pt3S